(1)
# Ti3ZnN

A relaxed Ti3ZnN crystal (PBE, the Alexandria database).

Lattice parameters (Å, degrees): 5.0408 5.5500 5.7426 121.15 90.00 90.00
Last column: nearest neighbours and their distance in Å.
Fractional positions:
Zn (0.9412, 0.6582, 0.7868)  2 Zn 2.61, 6 Ti 2.62-2.78
Zn (0.4412, 0.5194, 0.7174)  2 Zn 2.61, 6 Ti 2.62-2.78
Ti (0.1909, 0.5886, 0.3517)  2 N 2.13
Ti (0.6275, 0.9871, 0.7101)  2 N 2.08-2.19
Ti (0.7545, 0.1904, 0.3117)  2 N 2.08-2.19
Ti (0.2546, 0.9870, 0.1924)  2 N 2.08-2.19
Ti (0.1275, 0.1904, 0.7940)  2 N 2.08-2.19
Ti (0.6909, 0.5887, 0.1525)  2 N 2.13
N (0.4409, 0.2468, 0.0811)  6 Ti 2.08-2.19
N (0.9409, 0.9306, 0.4230)  6 Ti 2.08-2.19

Output
For the formation energy from raw total energies, the calculation gives -327 kJ/mol of formula units. As for the crystal system: orthorhombic. The energy above the most stable polymorph in this dataset comes out at 21.3 kJ per mole of atoms.


(2)
# LiAs2Pd

A relaxed LiAs2Pd crystal (PBE, the Alexandria database).

Lattice parameters (Å, degrees): 7.6228 7.6228 5.9692 50.32 50.32 90.00
Last column: nearest neighbours and their distance in Å.
Fractional positions:
As (0.6759, 0.1250, 0.2500)  2 Pd 2.52, 2 As 2.68
As (0.0741, 0.6250, 0.2500)  2 Pd 2.52, 2 As 2.68
As (0.3750, 0.3241, 0.7500)  2 Pd 2.52, 2 As 2.68
As (0.8750, 0.9259, 0.7500)  2 Pd 2.52, 2 As 2.68
Pd (0.0000, 0.0000, 0.0000)  4 As 2.52, 2 Li 2.56
Pd (0.7500, 0.2500, 0.5000)  4 As 2.52, 2 Li 2.56
Li (0.5000, 0.5000, 0.0000)  2 Pd 2.56
Li (0.2500, 0.7500, 0.5000)  2 Pd 2.56

Output
As for the crystal system: tetragonal. The energy above the most stable polymorph in this dataset comes out at 15.1 kJ per mole of atoms. As for the calculated formation energy: -0.249 eV/atom.


- Which of these has the highest energy above the most stable polymorph in this dataset?
  Ti3ZnN